[1]
A plane-wave DFT calculation with PBE was carried out for a relaxed structure of ZrWSe2Br.

Properties
- total moment (Bohr magnetons per cell) = 4.874
- energy above the most stable polymorph in this dataset (eV per atom) = 0.087
- ΔE_f (raw) (eV/atom) = 0.610
- symmetry = No. 123
- density of states at the Fermi level (states/eV per atom) = 0.71

Lattice parameters (Å, degrees): 5.2458 5.2458 5.1852 90.00 90.00 90.00
With the nearest neighbours (Å) after each atom.
Positions (direct):
W (0.5000, 0.5000, 0.5000)  8 Se 3.69, 4 Br 3.71
Br (0.0000, 0.0000, 0.5000)  2 Zr 2.59
Zr (0.0000, 0.0000, 0.0000)  2 Br 2.59, 4 Se 2.62
Se (0.5000, 0.0000, 0.0000)  2 Zr 2.62
Se (0.0000, 0.5000, 0.0000)  2 Zr 2.62

***

[2]
A plane-wave DFT calculation with PBE was carried out for a relaxed structure of YSe3Br.

Properties
- total moment (Bohr magnetons per cell) = 0.000
- energy above the most stable polymorph in this dataset (eV per atom) = 0.200
- ΔE_f (raw) (eV/atom) = -0.003
- symmetry = No. 221
- density of states at the Fermi level (states/eV per atom) = 0.18

Lattice parameters (Å, degrees): 5.1203 5.1203 5.1203 90.00 90.00 90.00
With the nearest neighbours (Å) after each atom.
Positions (direct):
Se (0.5000, 0.0000, 0.0000)  2 Br 2.56
Se (0.0000, 0.5000, 0.0000)  2 Br 2.56
Se (0.0000, 0.0000, 0.5000)  2 Br 2.56
Br (0.0000, 0.0000, 0.0000)  6 Se 2.56
Y (0.5000, 0.5000, 0.5000)  12 Se 3.62